1.
Ac2Ga4GeIr3 | PBE | optimized geometry

Cell and atoms, written as CIF:
```
data_Ac2Ga4GeIr3
_chemical_formula_sum 'Ac2 Ga4 Ge1 Ir3'
_cell_length_a 4.437
_cell_length_b 4.437
_cell_length_c 10.449
_cell_angle_alpha 90.00
_cell_angle_beta 90.00
_cell_angle_gamma 90.00
_symmetry_space_group_name_H-M 'P -4 m 2'
_symmetry_Int_Tables_number 115
loop_
_symmetry_equiv_pos_as_xyz
'x,y,z'
'y,-x,-z'
'-x,-y,z'
'-y,x,-z'
'-x,y,z'
'-y,-x,-z'
'x,-y,z'
'y,x,-z'
loop_
_atom_site_label
_atom_site_fract_x
_atom_site_fract_y
_atom_site_fract_z
Ac1 0.000 0.500 0.247
Ga1 0.000 0.000 0.500
Ga2 0.000 0.500 0.867
Ga3 0.500 0.500 0.500
Ge1 0.500 0.500 0.000
Ir1 0.000 0.000 0.000
Ir2 0.000 0.500 0.625
```

Results
For the formation energy, the calculation gives -0.60 eV/atom.



2.
Ac2Ga3Ge4Ir | PBE | optimized geometry

Cell and atoms, written as CIF:
```
data_Ac2Ga3Ge4Ir
_chemical_formula_sum 'Ac2 Ga3 Ge4 Ir1'
_cell_length_a 4.697
_cell_length_b 4.697
_cell_length_c 9.871
_cell_angle_alpha 90.00
_cell_angle_beta 90.00
_cell_angle_gamma 90.00
_symmetry_space_group_name_H-M 'P -4 m 2'
_symmetry_Int_Tables_number 115
loop_
_symmetry_equiv_pos_as_xyz
'x,y,z'
'y,-x,-z'
'-x,-y,z'
'-y,x,-z'
'-x,y,z'
'-y,-x,-z'
'x,-y,z'
'y,x,-z'
loop_
_atom_site_label
_atom_site_fract_x
_atom_site_fract_y
_atom_site_fract_z
Ac1 0.000 0.500 0.242
Ga1 0.000 0.000 0.000
Ga2 0.000 0.500 0.622
Ge1 0.000 0.000 0.500
Ge2 0.000 0.500 0.886
Ge3 0.500 0.500 0.500
Ir1 0.500 0.500 0.000
```

Results
For the formation energy, the calculation gives -0.45 eV/atom.



3.
Ac2Ga3GeIr4 | PBE | optimized geometry

Cell and atoms, written as CIF:
```
data_Ac2Ga3GeIr4
_chemical_formula_sum 'Ac2 Ga3 Ge1 Ir4'
_cell_length_a 4.421
_cell_length_b 4.421
_cell_length_c 10.254
_cell_angle_alpha 90.00
_cell_angle_beta 90.00
_cell_angle_gamma 90.00
_symmetry_space_group_name_H-M 'P -4 m 2'
_symmetry_Int_Tables_number 115
loop_
_symmetry_equiv_pos_as_xyz
'x,y,z'
'y,-x,-z'
'-x,-y,z'
'-y,x,-z'
'-x,y,z'
'-y,-x,-z'
'x,-y,z'
'y,x,-z'
loop_
_atom_site_label
_atom_site_fract_x
_atom_site_fract_y
_atom_site_fract_z
Ac1 0.000 0.500 0.242
Ga1 0.000 0.500 0.877
Ga2 0.500 0.500 0.500
Ge1 0.000 0.000 0.500
Ir1 0.000 0.000 0.000
Ir2 0.000 0.500 0.625
Ir3 0.500 0.500 0.000
```

Results
For the formation energy, the calculation gives -0.70 eV/atom.



4.
AcLaGa2Ge2 | PBE | optimized geometry

Cell and atoms, written as CIF:
```
data_AcLaGa2Ge2
_chemical_formula_sum 'Ac1 La1 Ga2 Ge2'
_cell_length_a 4.2949
_cell_length_b 4.2949
_cell_length_c 9.4120
_cell_angle_alpha 90.00
_cell_angle_beta 90.00
_cell_angle_gamma 120.00
_symmetry_space_group_name_H-M 'P -3 m 1'
_symmetry_Int_Tables_number 164
_symmetry_space_group_name_Hall '-P 3 2"'
loop_
_atom_site_label
_atom_site_fract_x
_atom_site_fract_y
_atom_site_fract_z
Ac1 0.0000 0.0000 0.0000
La1 0.0000 0.0000 0.5000
Ga1 0.3333 0.6667 0.7793
Ge1 0.3333 0.6667 0.2952
```

Results
For the formation energy, the calculation gives -0.72 eV/atom.



5.
Ac2La2GaGe4 | PBE | optimized geometry

Cell and atoms, written as CIF:
```
data_Ac2La2GaGe4
_chemical_formula_sum 'Ac4 La4 Ga2 Ge8'
_cell_length_a 7.375
_cell_length_b 7.375
_cell_length_c 9.129
_cell_angle_alpha 90.00
_cell_angle_beta 90.00
_cell_angle_gamma 90.00
_symmetry_space_group_name_H-M 'I 4/m m m'
_symmetry_Int_Tables_number 139
_symmetry_space_group_name_Hall '-I 4 2'
loop_
_atom_site_label
_atom_site_fract_x
_atom_site_fract_y
_atom_site_fract_z
Ac1 0.000 0.500 0.250
La1 0.000 0.000 0.186
Ga1 0.000 0.000 0.500
Ge1 0.245 0.245 0.500
```

Results
For the formation energy, the calculation gives -0.39 eV/atom.



6.
Li2Ac3GaGe6 | PBE | optimized geometry

Cell and atoms, written as CIF:
```
data_Li2Ac3GaGe6
_chemical_formula_sum 'Li2 Ac3 Ga1 Ge6'
_cell_length_a 6.2762
_cell_length_b 6.2762
_cell_length_c 9.0093
_cell_angle_alpha 90.00
_cell_angle_beta 90.00
_cell_angle_gamma 120.00
_symmetry_space_group_name_H-M 'P -3 m 1'
_symmetry_Int_Tables_number 164
_symmetry_space_group_name_Hall '-P 3 2"'
loop_
_atom_site_label
_atom_site_fract_x
_atom_site_fract_y
_atom_site_fract_z
Li1 0.3333 0.6667 0.0198
Ac1 0.0000 0.0000 0.0000
Ac2 0.3333 0.6667 0.6037
Ga1 0.0000 0.0000 0.5000
Ge1 0.1928 0.3857 0.2713
```

Results
For the formation energy, the calculation gives -0.39 eV/atom.



7.
LiAcGaGe | PBE | optimized geometry

Cell and atoms, written as CIF:
```
data_LiAcGaGe
_chemical_formula_sum 'Li4 Ac4 Ga4 Ge4'
_cell_length_a 7.332
_cell_length_b 7.332
_cell_length_c 7.332
_cell_angle_alpha 90.00
_cell_angle_beta 90.00
_cell_angle_gamma 90.00
_symmetry_space_group_name_H-M 'F -4 3 m'
_symmetry_Int_Tables_number 216
_symmetry_space_group_name_Hall 'F -4 2 3'
loop_
_atom_site_label
_atom_site_fract_x
_atom_site_fract_y
_atom_site_fract_z
Li1 0.000 0.000 0.000
Ac1 0.000 0.000 0.500
Ga1 0.250 0.250 0.750
Ge1 0.250 0.250 0.250
```

Results
For the formation energy, the calculation gives -0.35 eV/atom.



8.
Li4Ac2GaGe3 | PBE | optimized geometry

Cell and atoms, written as CIF:
```
data_Li4Ac2GaGe3
_chemical_formula_sum 'Li4 Ac2 Ga1 Ge3'
_cell_length_a 4.470
_cell_length_b 4.470
_cell_length_c 10.637
_cell_angle_alpha 90.00
_cell_angle_beta 90.00
_cell_angle_gamma 90.00
_symmetry_space_group_name_H-M 'P -4 m 2'
_symmetry_Int_Tables_number 115
loop_
_symmetry_equiv_pos_as_xyz
'x,y,z'
'y,-x,-z'
'-x,-y,z'
'-y,x,-z'
'-x,y,z'
'-y,-x,-z'
'x,-y,z'
'y,x,-z'
loop_
_atom_site_label
_atom_site_fract_x
_atom_site_fract_y
_atom_site_fract_z
Li1 0.000 0.000 0.000
Li2 0.000 0.500 0.371
Li3 0.500 0.500 0.000
Ac1 0.000 0.500 0.759
Ga1 0.500 0.500 0.500
Ge1 0.000 0.000 0.500
Ge2 0.000 0.500 0.130
```

Results
For the formation energy, the calculation gives -0.48 eV/atom.



9.
Ac2MgGa3Ge4 | PBE | optimized geometry

Cell and atoms, written as CIF:
```
data_Ac2MgGa3Ge4
_chemical_formula_sum 'Ac2 Mg1 Ga3 Ge4'
_cell_length_a 4.511
_cell_length_b 4.511
_cell_length_c 11.408
_cell_angle_alpha 90.00
_cell_angle_beta 90.00
_cell_angle_gamma 90.00
_symmetry_space_group_name_H-M 'P -4 m 2'
_symmetry_Int_Tables_number 115
loop_
_symmetry_equiv_pos_as_xyz
'x,y,z'
'y,-x,-z'
'-x,-y,z'
'-y,x,-z'
'-x,y,z'
'-y,-x,-z'
'x,-y,z'
'y,x,-z'
loop_
_atom_site_label
_atom_site_fract_x
_atom_site_fract_y
_atom_site_fract_z
Ac1 0.000 0.500 0.238
Mg1 0.000 0.000 0.500
Ga1 0.000 0.500 0.877
Ga2 0.500 0.500 0.500
Ge1 0.000 0.000 0.000
Ge2 0.000 0.500 0.645
Ge3 0.500 0.500 0.000
```

Results
For the formation energy, the calculation gives -0.40 eV/atom.



10.
Ac2MnGaGe6 | PBE | optimized geometry

Cell and atoms, written as CIF:
```
data_Ac2MnGaGe6
_chemical_formula_sum 'Ac12 Mn6 Ga6 Ge36'
_cell_length_a 6.4802
_cell_length_b 6.4802
_cell_length_c 36.4867
_cell_angle_alpha 90.00
_cell_angle_beta 90.00
_cell_angle_gamma 120.00
_symmetry_space_group_name_H-M 'R -3 m'
_symmetry_Int_Tables_number 166
_symmetry_space_group_name_Hall '-R 3 2"'
loop_
_atom_site_label
_atom_site_fract_x
_atom_site_fract_y
_atom_site_fract_z
Ac1 0.0000 0.0000 0.1105
Ac2 0.0000 0.0000 0.2876
Mn1 0.0000 0.0000 0.0000
Mn2 0.0000 0.0000 0.5000
Ga1 0.0000 0.0000 0.4288
Ge1 0.0495 0.5248 0.2959
Ge2 0.0657 0.5329 0.8646
```

Results
For the formation energy, the calculation gives -0.29 eV/atom.



11.
Ac4GaGeN | PBE | optimized geometry

Cell and atoms, written as CIF:
```
data_Ac4GaGeN
_chemical_formula_sum 'Ac16 Ga4 Ge4 N4'
_cell_length_a 7.186
_cell_length_b 17.178
_cell_length_c 7.206
_cell_angle_alpha 90.00
_cell_angle_beta 90.00
_cell_angle_gamma 90.00
_symmetry_space_group_name_H-M 'C m c m'
_symmetry_Int_Tables_number 63
_symmetry_space_group_name_Hall '-C 2c 2'
loop_
_atom_site_label
_atom_site_fract_x
_atom_site_fract_y
_atom_site_fract_z
Ac1 0.000 0.066 0.250
Ac2 0.000 0.424 0.250
Ac3 0.250 0.250 0.000
Ga1 0.000 0.383 0.750
Ge1 0.000 0.115 0.750
N1 0.000 0.277 0.250
```

Results
For the uncorrected formation energy, the calculation gives -0.64 eV/atom.



12.
AcNdGaGe | PBE | optimized geometry

Cell and atoms, written as CIF:
```
data_AcNdGaGe
_chemical_formula_sum 'Ac2 Nd2 Ga2 Ge2'
_cell_length_a 4.212
_cell_length_b 4.587
_cell_length_c 11.735
_cell_angle_alpha 90.00
_cell_angle_beta 90.00
_cell_angle_gamma 90.00
_symmetry_space_group_name_H-M 'A m m 2'
_symmetry_Int_Tables_number 38
loop_
_symmetry_equiv_pos_as_xyz
'x,y,z'
'-x,-y,z'
'-x,y,z'
'x,-y,z'
'x,y+1/2,z+1/2'
'-x,-y+1/2,z+1/2'
'-x,y+1/2,z+1/2'
'x,-y+1/2,z+1/2'
loop_
_atom_site_label
_atom_site_fract_x
_atom_site_fract_y
_atom_site_fract_z
Ac1 0.000 0.000 0.000
Nd1 0.500 0.000 0.720
Ga1 0.000 0.000 0.280
Ge1 0.500 0.000 0.421
```

Results
For the formation energy, the calculation gives -0.68 eV/atom. For the polymorph energy (0 for the lowest one), the calculation gives 0.00 eV/f.u.